No. 1
Density functional theory data (PBEsol) for crystalline Na2AlZn2 at its relaxed geometry.

Summary:
- Space group: P4/mbm (127)
- Calculated volume: 216 Å³/cell

Lattice parameters (Å, degrees): 4.909 6.627 6.627 90.00 90.00 90.00
Positions (direct):
Na  0.500  0.178  0.678
Zn  0.000  0.366  0.866
Na  0.500  0.822  0.322
Na  0.500  0.678  0.822
Al  0.000  0.500  0.500
Al  0.000  0.000  0.000
Zn  0.000  0.866  0.634
Na  0.500  0.322  0.178
Zn  0.000  0.634  0.134
Zn  0.000  0.134  0.366

***

No. 2
Density functional theory data (PBEsol) for crystalline GeSbTe2Au at its relaxed geometry.

Summary:
- Space group: P4/mmm (123)
- Calculated volume: 150 Å³/cell
- Raw formation energy: 651.4 meV/atom

Lattice parameters (Å, degrees): 5.201 5.379 5.379 90.00 90.00 90.00
Positions (direct):
Ge  0.500  0.500  0.500
Au  0.000  0.000  0.000
Te  0.000  0.000  0.500
Sb  0.500  0.000  0.000
Te  0.000  0.500  0.000

***

No. 3
Density functional theory data (PBEsol) for crystalline HfBr3F at its relaxed geometry.

Summary:
- Space group: Pm-3m (221)
- Calculated volume: 108 Å³/cell
- Raw formation energy: 288.0 meV/atom

Lattice parameters (Å, degrees): 4.756 4.756 4.756 90.00 90.00 90.00
Positions (direct):
Br  0.000  0.500  0.000
Br  0.500  0.000  0.000
Hf  0.500  0.500  0.500
Br  0.000  0.000  0.500
F  0.000  0.000  0.000

***

No. 4
Density functional theory data (PBEsol) for crystalline MgPtCl2 at its relaxed geometry.

Summary:
- Space group: I-42d (122)
- Calculated volume: 154 Å³/cell
- Energy above the most stable polymorph in this dataset: 0.120 eV/atom
- Raw formation energy: -439.5 meV/atom

Lattice parameters (Å, degrees): 4.482 4.482 8.291 105.68 105.68 90.00
Positions (direct):
Cl  0.372  0.875  0.250
Cl  0.125  0.122  0.750
Pt  0.250  0.750  0.500
Pt  0.000  0.000  0.000
Cl  0.625  0.628  0.750
Mg  0.750  0.250  0.500
Mg  0.500  0.500  0.000
Cl  0.878  0.375  0.250

***

No. 5
Density functional theory data (PBEsol) for crystalline YMg2Cd at its relaxed geometry.

Summary:
- Space group: P4/mmm (123)
- Calculated volume: 95 Å³/cell

Lattice parameters (Å, degrees): 4.441 4.449 4.801 90.00 90.00 90.00
Positions (direct):
Mg  0.500  0.500  0.000
Mg  0.000  0.000  0.000
Cd  0.000  0.500  0.500
Y  0.500  0.000  0.500

***

No. 6
Density functional theory data (PBEsol) for crystalline K2Rb4Fe2O5 at its relaxed geometry.

Summary:
- Space group: C2/m (12)
- Calculated volume: 272 Å³/cell
- Raw formation energy: -1188.6 meV/atom

Lattice parameters (Å, degrees): 6.710 6.710 6.851 90.75 90.75 117.95
Positions (direct):
Rb  0.337  0.337  0.683
K  0.216  0.784  0.500
Fe  0.801  0.801  0.804
O  0.158  0.433  0.288
O  0.567  0.842  0.712
O  0.433  0.158  0.288
Rb  0.663  0.663  0.317
O  0.000  0.000  0.000
K  0.784  0.216  0.500
O  0.842  0.567  0.712
Rb  0.757  0.243  0.000
Rb  0.243  0.757  0.000
Fe  0.199  0.199  0.196

***

No. 7
Density functional theory data (PBEsol) for crystalline Li2TaPt at its relaxed geometry.

Summary:
- Space group: Fm-3m (225)
- Calculated volume: 52 Å³/cell
- Energy above the most stable polymorph in this dataset: 0.259 eV/atom

Lattice parameters (Å, degrees): 4.197 4.197 4.197 60.00 60.00 60.00
Positions (direct):
Li  0.250  0.250  0.250
Ta  0.500  0.500  0.500
Pt  0.000  0.000  0.000
Li  0.750  0.750  0.750

***

No. 8
Density functional theory data (PBEsol) for crystalline RbLuMo2O8 at its relaxed geometry.

Summary:
- Space group: C2/c (15)
- Calculated volume: 306 Å³/cell
- Raw formation energy: -2462.2 meV/atom

Lattice parameters (Å, degrees): 7.321 7.321 7.541 61.97 61.97 88.12
Positions (direct):
Rb  0.196  0.804  0.750
O  0.064  0.380  0.380
Mo  0.302  0.303  0.737
Rb  0.804  0.196  0.250
Mo  0.697  0.698  0.763
O  0.210  0.045  0.302
O  0.233  0.386  0.939
O  0.620  0.936  0.120
Lu  0.770  0.230  0.750
O  0.767  0.614  0.061
O  0.587  0.367  0.966
O  0.367  0.587  0.466
Mo  0.303  0.302  0.237
O  0.386  0.233  0.439
O  0.790  0.955  0.698
O  0.413  0.633  0.034
O  0.614  0.767  0.561
Mo  0.698  0.697  0.263
Lu  0.230  0.770  0.250
O  0.936  0.620  0.620
O  0.380  0.064  0.880
O  0.955  0.790  0.198
O  0.045  0.210  0.802
O  0.633  0.413  0.534

***

No. 9
Density functional theory data (PBEsol) for crystalline NiIr2Rh at its relaxed geometry.

Summary:
- Space group: Pmm2 (25)
- Calculated volume: 52 Å³/cell

Lattice parameters (Å, degrees): 2.680 3.720 5.254 90.00 90.00 90.00
Positions (direct):
Ir  0.500  0.000  0.002
Rh  0.000  0.500  0.744
Ir  0.000  0.500  0.255
Ni  0.500  0.000  0.499

***

No. 10
Density functional theory data (PBEsol) for crystalline MgScIn2 at its relaxed geometry.

Summary:
- Space group: I-4m2 (119)
- Calculated volume: 89 Å³/cell

Lattice parameters (Å, degrees): 4.317 4.317 5.648 112.46 112.46 90.00
Positions (direct):
Sc  0.750  0.250  0.500
In  0.000  0.000  0.000
Mg  0.500  0.500  0.000
In  0.250  0.750  0.500

***

No. 11
Density functional theory data (PBEsol) for crystalline Sc2TeP at its relaxed geometry.

Summary:
- Space group: C2/m (12)
- Calculated volume: 81 Å³/cell
- Energy above the most stable polymorph in this dataset: 0.543 eV/atom
- Raw formation energy: -896.7 meV/atom

Lattice parameters (Å, degrees): 3.460 4.895 4.895 92.49 98.10 98.10
Positions (direct):
Sc  0.000  0.000  0.500
Te  0.500  0.500  0.500
P  0.500  0.000  0.000
Sc  0.000  0.500  0.000

***

No. 12
Density functional theory data (PBEsol) for crystalline CaBi3Pb at its relaxed geometry.

Summary:
- Space group: Pm-3m (221)
- Calculated volume: 198 Å³/cell

Lattice parameters (Å, degrees): 5.828 5.828 5.828 90.00 90.00 90.00
Positions (direct):
Ca  0.500  0.500  0.500
Bi  0.500  0.000  0.000
Bi  0.000  0.000  0.500
Bi  0.000  0.500  0.000
Pb  0.000  0.000  0.000

***

no.,DFT total energy (eV per atom)
1,-1.89
2,-3.44
3,-3.32
4,-3.61
5,-3.05
6,-5.08
7,-5.69
8,-8.41
9,-8.49
10,-3.85
11,-6.53
12,-3.39